Entry 1:
First-principles (PBE) data for a relaxed structure of GaHPtRh2, as listed in Alexandria.

POSCAR file:
```
GaHPtRh2
1.0
-2.570 0.654 2.796
-1.383 -3.570 -0.436
2.679 -1.379 2.785
H Rh Ga Pt
1 2 1 1
Cartesian
0.000 0.000 0.000
-0.692 -1.785 -0.218
-1.285 0.327 1.398
1.340 -0.689 1.393
-0.637 -2.147 2.572
```

Output
E above lowest polymorph   114.6 meV/atom



Entry 2:
First-principles (PBE) data for a relaxed structure of PuCoPN, as listed in Alexandria.

POSCAR file:
```
PuCoPN
1.0
3.668 0.000 0.000
0.000 3.668 0.000
0.000 0.000 7.921
Pu Co P N
2 2 2 2
Cartesian
0.000 1.834 6.637
1.834 0.000 1.283
0.000 0.000 3.960
1.834 1.834 3.960
0.000 1.834 2.766
1.834 0.000 5.155
1.834 0.000 6.889
0.000 1.834 1.032
```

Output
Formation energy without anion corrections   -4.1 eV/f.u.



Entry 3:
First-principles (PBE) data for a relaxed structure of YZn2Te2, as listed in Alexandria.

POSCAR file:
```
YZn2Te2
1.0
5.458 0.000 0.000
0.000 5.458 0.000
2.729 2.729 4.235
Y Zn Te
1 2 2
Cartesian
0.000 0.000 0.000
2.729 2.729 1.192
5.458 5.458 3.043
5.458 2.729 2.118
2.729 5.458 2.118
```

Output
E above lowest polymorph   51.4 meV/atom
Formation energy without anion corrections   -2.1 eV/f.u.



Entry 4:
First-principles (PBE) data for a relaxed structure of BaPmP2, as listed in Alexandria.

POSCAR file:
```
BaPmP2
1.0
5.274 0.000 0.000
2.637 4.568 0.000
2.637 1.523 4.307
P Ba Pm
2 1 1
Cartesian
2.637 1.523 1.077
7.912 4.568 3.230
0.000 0.000 0.000
5.274 3.045 2.153
```

Output
DFT formation energy   -0.756 eV/atom
E above lowest polymorph   318.3 meV/atom



Entry 5:
First-principles (PBE) data for a relaxed structure of PmCd2Hg5, as listed in Alexandria.

POSCAR file:
```
PmCd2Hg5
1.0
7.910 0.000 0.000
0.000 7.910 0.000
-3.955 -3.955 6.502
Pm Cd Hg
2 4 10
Cartesian
3.955 3.955 3.251
0.000 0.000 3.251
1.157 2.798 0.000
5.113 1.157 0.000
2.798 6.753 0.000
6.753 5.113 0.000
1.175 2.780 4.457
5.130 -1.175 2.045
0.000 0.000 0.000
3.955 3.955 0.000
-1.175 5.130 4.457
2.780 -1.175 4.457
5.130 1.175 4.457
1.175 5.130 2.045
-1.175 2.780 2.045
2.780 1.175 2.045
```

Output
DFT formation energy   -0.124 eV/atom
E above lowest polymorph   62.6 meV/atom



Entry 6:
First-principles (PBE) data for a relaxed structure of Ac2CuI, as listed in Alexandria.

POSCAR file:
```
Ac2CuI
1.0
3.805 0.000 0.000
0.000 3.805 0.000
0.000 0.000 8.961
I Ac Cu
1 2 1
Cartesian
1.903 1.903 4.481
0.000 0.000 7.061
0.000 0.000 1.900
1.903 1.903 0.000
```

Output
E above lowest polymorph   107.2 meV/atom
Formation energy without anion corrections   -1.8 eV/f.u.



Entry 7:
First-principles (PBE) data for a relaxed structure of Si2PBr, as listed in Alexandria.

POSCAR file:
```
Si2PBr
1.0
0.000 3.302 3.302
3.302 0.000 3.302
3.302 3.302 0.000
P Si Br
1 2 1
Cartesian
0.000 0.000 0.000
1.651 1.651 1.651
4.953 4.953 4.953
3.302 3.302 3.302
```

Output
E above lowest polymorph   639.3 meV/atom
Formation energy without anion corrections   2.8 eV/f.u.



Entry 8:
First-principles (PBE) data for a relaxed structure of TaAgIrSe, as listed in Alexandria.

POSCAR file:
```
TaAgIrSe
1.0
-3.197 -1.428 -0.763
1.294 -1.851 -1.958
1.914 -10.015 10.732
Ta Ag Ir Se
2 2 2 2
Cartesian
1.664 -6.248 4.724
-1.538 -1.029 -0.044
2.062 -8.329 6.954
-1.140 -3.110 2.186
0.867 -2.078 0.256
-0.421 -6.874 6.220
0.742 -3.881 4.158
0.747 -10.528 8.164
```

Output
E above lowest polymorph   0.0 meV/atom
Formation energy without anion corrections   -0.8 eV/f.u.



Entry 9:
First-principles (PBE) data for a relaxed structure of SiPtPb2, as listed in Alexandria.

POSCAR file:
```
SiPtPb2
1.0
5.022 0.000 0.000
2.511 4.349 0.000
2.511 1.450 4.100
Pb Pt Si
2 1 1
Cartesian
0.000 0.000 0.000
2.511 1.450 1.025
5.022 2.899 2.050
7.533 4.349 3.075
```

Output
Formation energy without anion corrections   1.4 eV/f.u.



Entry 10:
First-principles (PBE) data for a relaxed structure of Pm5SmTh, as listed in Alexandria.

POSCAR file:
```
Pm5SmTh
1.0
-2.592 -0.790 -5.618
6.791 -1.382 -6.401
-1.193 -8.809 -0.266
Pm Sm Th
10 2 2
Cartesian
2.276 -8.702 -6.433
0.255 -5.525 -4.716
2.033 -3.642 -2.542
-1.117 -7.685 -6.870
0.353 -9.086 -3.517
2.653 -1.893 -8.767
4.123 -3.295 -5.415
0.972 -7.337 -9.742
2.751 -5.455 -7.569
0.730 -2.278 -5.852
4.426 -8.362 -9.332
-1.420 -2.618 -2.953
0.000 0.000 0.000
-0.597 -4.404 -0.133
```

Output
DFT formation energy   0.200 eV/atom



Entry 11:
First-principles (PBE) data for a relaxed structure of K6Ag2Au, as listed in Alexandria.

POSCAR file:
```
K6Ag2Au
1.0
0.615 9.238 3.800
-5.752 -5.073 6.430
3.699 -0.440 9.289
K Ag Au
12 4 2
Cartesian
-3.759 -2.159 6.244
2.322 5.884 13.275
0.639 -0.003 7.574
-2.076 3.728 11.944
1.849 2.460 10.706
-3.286 1.265 8.812
-0.648 -0.874 3.558
-0.789 4.600 15.961
1.033 2.737 4.246
-2.470 0.988 15.273
-0.763 -0.396 11.873
-0.674 4.122 7.646
-1.625 -2.270 9.053
0.188 5.996 10.466
2.567 3.115 7.273
1.748 5.684 5.816
-2.568 2.083 5.115
0.000 0.000 0.000
```

Output
DFT formation energy   -0.031 eV/atom



Entry 12:
First-principles (PBE) data for a relaxed structure of Ta2ZnMo, as listed in Alexandria.

POSCAR file:
```
Ta2ZnMo
1.0
2.747 0.000 0.000
0.000 2.747 0.000
0.000 0.000 8.885
Mo Ta Zn
1 2 1
Cartesian
1.374 1.374 6.664
0.000 0.000 0.130
0.000 0.000 4.312
1.374 1.374 2.221
```

Output
DFT formation energy   0.146 eV/atom



| no. | energy (eV/cell) |
| --- | --- |
| 1 | -28.0 |
| 2 | -78.5 |
| 3 | -17.3 |
| 4 | -20.5 |
| 5 | -18.2 |
| 6 | -15.6 |
| 7 | -15.1 |
| 8 | -55.7 |
| 9 | -17.5 |
| 10 | -69.0 |
| 11 | -31.7 |
| 12 | -35.2 |